[1]
## MgRePt2 (SCAN)

Data for MgRePt2 at its PBEsol-relaxed geometry.

Structure (POSCAR):
```
MgRePt2
1.0
-2.151 -1.159 1.262
-0.960 -1.860 -3.344
3.169 -4.280 1.471
Mg Pt Re
1 2 1
Cartesian
0.029 -3.650 -0.305
2.407 -3.251 1.117
0.762 -1.029 0.354
-1.556 -1.510 -1.041
```

ΔH_f (0 K) in meV/atom: -367
Fermi-level density of states in states/eV per atom: 0.599
SG: No. 47

[2]
## Mg2PtRh (SCAN)

Data for Mg2PtRh at its PBEsol-relaxed geometry.

Structure (POSCAR):
```
Mg2PtRh
1.0
3.105 0.000 0.000
0.000 3.105 0.000
0.000 0.000 6.189
Rh Mg Pt
1 2 1
Cartesian
1.552 1.552 3.095
0.000 0.000 4.597
0.000 0.000 1.592
1.552 1.552 0.000
```

ΔH_f (0 K) in meV/atom: -792
Fermi-level density of states in states/eV per atom: 0.295
SG: No. 123

[3]
## Mg2PtRh (SCAN)

Data for Mg2PtRh at its PBEsol-relaxed geometry.

Structure (POSCAR):
```
Mg2PtRh
1.0
-2.225 2.837 2.491
-2.512 -1.465 3.279
1.207 0.681 4.158
Mg Rh Pt
2 1 1
Cartesian
-2.647 1.540 7.446
-0.882 0.513 2.482
-1.765 1.027 4.964
0.000 0.000 0.000
```

ΔH_f (0 K) in meV/atom: -830
Fermi-level density of states in states/eV per atom: 0.324
SG: No. 225